VASP calculation (GGA-PBE) on a relaxed Rb2HoCd2Se4 crystal.

a = 16.824 Å, b = 4.203 Å, c = 8.564 Å
α = 90.00°, β = 113.45°, γ = 90.00°
Space group C2/m (No. 12)
Asymmetric unit:
Rb (0.127, 0.000, 0.062) (multiplicity 4)
Ho (0.000, 0.000, 0.500) (multiplicity 2)
Cd (0.187, 0.500, 0.516) (multiplicity 4)
Se (0.022, 0.500, 0.284) (multiplicity 4)
Se (0.184, 0.000, 0.718) (multiplicity 4)

Properties
Raw total energy, eV per atom: -3.57
Formation energy from raw total energies, eV/atom: -1.091
Density of states at the Fermi level, states/eV per cell: 6.669